KBaP (SCAN, single point on PBEsol structure); Fermi-level density of states = 0.00 states/eV/atom; calculated formation energy = -0.8502 eV per atom
1.0
5.2938 0.0000 0.0000
0.0000 8.2520 0.0000
0.0000 0.0000 9.3418
K P Ba
4 4 4
direct
0.2500 0.5119 0.6754
0.2500 0.0119 0.8246
0.7500 0.9881 0.1754
0.7500 0.4881 0.3246
0.2500 0.7766 0.4087
0.7500 0.7234 0.9087
0.7500 0.2234 0.5913
0.2500 0.2766 0.0913
0.7500 0.3382 0.9112
0.2500 0.1618 0.4112
0.7500 0.8382 0.5888
0.2500 0.6618 0.0888